Density functional theory data (GGA-PBE) for an optimized crystal structure of ScInCl3.

Computed properties:
- crystal system = cubic
- formation energy without anion corrections (meV/atom) = -429
- M_tot (μB/f.u.) = 1.668
- density of states at the Fermi level (states/eV per atom) = 1.750
- VASP energy (Ha/atom) = -0.1232

```
data_ScInCl3
_chemical_formula_sum 'Sc1 In1 Cl3'
_symmetry_space_group_name_H-M 'P 1'
_symmetry_Int_Tables_number 1
_cell_length_a 5.419
_cell_length_b 5.419
_cell_length_c 5.419
_cell_angle_alpha 90.00
_cell_angle_beta 90.00
_cell_angle_gamma 90.00
loop_
_symmetry_equiv_pos_as_xyz
'x,y,z'
loop_
_atom_site_label
_atom_site_type_symbol
_atom_site_fract_x
_atom_site_fract_y
_atom_site_fract_z
Sc1 Sc 0.000 0.000 0.000
In1 In 0.500 0.500 0.500
Cl1 Cl 0.000 0.500 0.500
Cl2 Cl 0.500 0.000 0.500
Cl3 Cl 0.500 0.500 0.000
```

Density functional theory data (GGA-PBE) for an optimized crystal structure of Tc2PtSe.

Computed properties:
- crystal system = cubic
- formation energy without anion corrections (meV/atom) = 531
- M_tot (μB/f.u.) = 0.084
- density of states at the Fermi level (states/eV per atom) = 1.551
- VASP energy (Ha/atom) = -0.2585

```
data_Tc2PtSe
_chemical_formula_sum 'Tc2 Pt1 Se1'
_symmetry_space_group_name_H-M 'P 1'
_symmetry_Int_Tables_number 1
_cell_length_a 4.474
_cell_length_b 4.474
_cell_length_c 4.474
_cell_angle_alpha 60.00
_cell_angle_beta 60.00
_cell_angle_gamma 60.00
loop_
_symmetry_equiv_pos_as_xyz
'x,y,z'
loop_
_atom_site_label
_atom_site_type_symbol
_atom_site_fract_x
_atom_site_fract_y
_atom_site_fract_z
Tc1 Tc 0.000 0.000 0.000
Tc2 Tc 0.250 0.250 0.250
Pt1 Pt 0.500 0.500 0.500
Se1 Se 0.750 0.750 0.750
```

Q: What is the VASP energy in the first record?
A: -0.1232 Ha/atom

Q: VASP energy of number 2 (Tc2PtSe)?
A: -0.2585 Ha/atom